[1]
# GaBiTeO5, optimized geometry, DFT PBE
data_GaBiTeO5
_symmetry_space_group_name_H-M 'P 1'
_symmetry_Int_Tables_number 1
_cell_length_a 5.869
_cell_length_b 5.869
_cell_length_c 8.388
_cell_angle_alpha 111.09
_cell_angle_beta 111.09
_cell_angle_gamma 98.56
loop_
_symmetry_equiv_pos_as_xyz
'x,y,z'
loop_
_atom_site_label
_atom_site_fract_x
_atom_site_fract_y
_atom_site_fract_z
Ga1 0.000 0.000 0.500
Ga2 0.000 0.000 0.000
Bi1 0.287 0.713 0.250
Bi2 0.713 0.287 0.750
Te1 0.724 0.276 0.250
Te2 0.276 0.724 0.750
O1 0.046 0.954 0.250
O2 0.954 0.046 0.750
O3 0.898 0.322 0.066
O4 0.102 0.678 0.934
O5 0.678 0.102 0.434
O6 0.322 0.898 0.566
O7 0.784 0.631 0.397
O8 0.216 0.369 0.603
O9 0.369 0.216 0.103
O10 0.631 0.784 0.897
# space group	C2/c, No. 15
# total moment	0.00	μB per cell
# calculated volume	14.89	A^3/atom
# E_form (uncorrected)	-1220	meV/atom
# raw total energy	-89.2	eV per cell


[2]
# GaBiTe2O8, optimized geometry, DFT PBE
data_GaBiTe2O8
_symmetry_space_group_name_H-M 'P 1'
_symmetry_Int_Tables_number 1
_cell_length_a 6.129
_cell_length_b 6.129
_cell_length_c 6.167
_cell_angle_alpha 90.00
_cell_angle_beta 90.00
_cell_angle_gamma 120.00
loop_
_symmetry_equiv_pos_as_xyz
'x,y,z'
loop_
_atom_site_label
_atom_site_fract_x
_atom_site_fract_y
_atom_site_fract_z
Ga1 0.000 0.000 0.500
Bi1 0.000 0.000 0.000
Te1 0.667 0.333 0.261
Te2 0.333 0.667 0.739
O1 0.333 0.667 0.033
O2 0.288 0.144 0.285
O3 0.856 0.144 0.285
O4 0.667 0.333 0.967
O5 0.144 0.856 0.715
O6 0.712 0.856 0.715
O7 0.144 0.288 0.715
O8 0.856 0.712 0.285
# space group	P-3m1, No. 164
# total moment	0.00	μB per cell
# calculated volume	16.72	A^3/atom
# E_form (uncorrected)	-956	meV/atom
# raw total energy	-64.3	eV per cell


[3]
# TiGaBiO6, optimized geometry, DFT PBE
data_TiGaBiO6
_symmetry_space_group_name_H-M 'P 1'
_symmetry_Int_Tables_number 1
_cell_length_a 4.756
_cell_length_b 4.756
_cell_length_c 9.413
_cell_angle_alpha 90.00
_cell_angle_beta 90.00
_cell_angle_gamma 90.00
loop_
_symmetry_equiv_pos_as_xyz
'x,y,z'
loop_
_atom_site_label
_atom_site_fract_x
_atom_site_fract_y
_atom_site_fract_z
Ti1 0.500 0.500 0.500
Ti2 0.000 0.000 0.000
Ga1 0.500 0.500 0.835
Ga2 0.000 0.000 0.335
Bi1 0.500 0.500 0.166
Bi2 0.000 0.000 0.666
O1 0.202 0.798 0.491
O2 0.798 0.202 0.491
O3 0.298 0.298 0.991
O4 0.702 0.702 0.991
O5 0.181 0.819 0.165
O6 0.819 0.181 0.165
O7 0.319 0.319 0.665
O8 0.681 0.681 0.665
O9 0.801 0.199 0.844
O10 0.199 0.801 0.844
O11 0.699 0.699 0.344
O12 0.301 0.301 0.344
# space group	P4_2nm, No. 102
# total moment	0.00	μB per cell
# calculated volume	11.83	A^3/atom
# E_form (uncorrected)	-1778	meV/atom
# raw total energy	-121.1	eV per cell


[4]
# Tl2GaBiO6, optimized geometry, DFT PBE
data_Tl2GaBiO6
_symmetry_space_group_name_H-M 'P 1'
_symmetry_Int_Tables_number 1
_cell_length_a 6.204
_cell_length_b 7.757
_cell_length_c 7.757
_cell_angle_alpha 99.50
_cell_angle_beta 75.22
_cell_angle_gamma 75.22
loop_
_symmetry_equiv_pos_as_xyz
'x,y,z'
loop_
_atom_site_label
_atom_site_fract_x
_atom_site_fract_y
_atom_site_fract_z
Tl1 0.355 0.723 0.543
Tl2 0.145 0.457 0.277
Tl3 0.645 0.277 0.457
Tl4 0.855 0.543 0.723
Ga1 0.250 0.179 0.821
Ga2 0.750 0.821 0.179
Bi1 0.250 0.904 0.096
Bi2 0.750 0.096 0.904
O1 0.172 0.954 0.818
O2 0.328 0.182 0.046
O3 0.828 0.046 0.182
O4 0.672 0.818 0.954
O5 0.449 0.867 0.330
O6 0.051 0.670 0.133
O7 0.551 0.133 0.670
O8 0.949 0.330 0.867
O9 0.003 0.702 0.548
O10 0.497 0.452 0.298
O11 0.997 0.298 0.452
O12 0.503 0.548 0.702
# space group	C2/c, No. 15
# total moment	0.00	μB per cell
# calculated volume	16.91	A^3/atom
# E_form (uncorrected)	-987	meV/atom
# raw total energy	-102.5	eV per cell


[5]
# TlGa2BiO6, optimized geometry, DFT PBE
data_TlGa2BiO6
_symmetry_space_group_name_H-M 'P 1'
_symmetry_Int_Tables_number 1
_cell_length_a 6.174
_cell_length_b 7.432
_cell_length_c 7.432
_cell_angle_alpha 81.02
_cell_angle_beta 73.92
_cell_angle_gamma 73.92
loop_
_symmetry_equiv_pos_as_xyz
'x,y,z'
loop_
_atom_site_label
_atom_site_fract_x
_atom_site_fract_y
_atom_site_fract_z
Tl1 0.250 0.295 0.705
Tl2 0.750 0.705 0.295
Ga1 0.289 0.792 0.621
Ga2 0.211 0.379 0.208
Ga3 0.711 0.208 0.379
Ga4 0.789 0.621 0.792
Bi1 0.250 0.897 0.103
Bi2 0.750 0.103 0.897
O1 0.152 0.997 0.763
O2 0.348 0.237 0.003
O3 0.848 0.003 0.237
O4 0.652 0.763 0.997
O5 0.371 0.854 0.361
O6 0.129 0.639 0.146
O7 0.629 0.146 0.639
O8 0.871 0.361 0.854
O9 0.103 0.622 0.678
O10 0.397 0.322 0.378
O11 0.897 0.378 0.322
O12 0.603 0.678 0.622
# space group	C2/c, No. 15
# total moment	0.00	μB per cell
# calculated volume	15.68	A^3/atom
# E_form (uncorrected)	-1372	meV/atom
# raw total energy	-111.5	eV per cell


[6]
# Tl2GaBiO4, optimized geometry, DFT PBE
data_Tl2GaBiO4
_symmetry_space_group_name_H-M 'P 1'
_symmetry_Int_Tables_number 1
_cell_length_a 5.329
_cell_length_b 8.330
_cell_length_c 7.702
_cell_angle_alpha 90.00
_cell_angle_beta 90.00
_cell_angle_gamma 90.00
loop_
_symmetry_equiv_pos_as_xyz
'x,y,z'
loop_
_atom_site_label
_atom_site_fract_x
_atom_site_fract_y
_atom_site_fract_z
Tl1 0.485 0.312 0.220
Tl2 0.485 0.312 0.780
Tl3 0.985 0.688 0.720
Tl4 0.985 0.688 0.280
Ga1 0.497 0.905 0.500
Ga2 0.997 0.095 0.000
Bi1 0.979 0.162 0.500
Bi2 0.479 0.838 0.000
O1 0.358 0.083 0.000
O2 0.858 0.917 0.500
O3 0.385 0.124 0.500
O4 0.885 0.876 0.000
O5 0.406 0.807 0.705
O6 0.906 0.193 0.205
O7 0.906 0.193 0.795
O8 0.406 0.807 0.295
# space group	Pmn2_1, No. 31
# total moment	0.00	μB per cell
# calculated volume	21.37	A^3/atom
# E_form (uncorrected)	-1159	meV/atom
# raw total energy	-81.5	eV per cell